Entry from the Alexandria database: LiSnSb2Te at its PBEsol-relaxed geometry (meta-GGA SCAN).

Output
Size of the total moment, μB per formula unit: 1.0
Uncorrected energy, eV per atom: -29.516
Crystal system: tetragonal

abc: 5.611 5.611 5.752
angles: 90.00 90.00 90.00
Fractional positions:
Li  0.000  0.000  0.000
Sn  0.500  0.500  0.500
Sb  0.000  0.500  0.500
Sb  0.500  0.000  0.500
Te  0.500  0.500  0.000

=====

Entry from the Alexandria database: TiCdAs2Br at its PBEsol-relaxed geometry (meta-GGA SCAN).

Output
Size of the total moment, μB per formula unit: 0.0
Uncorrected energy, eV per atom: -21.331
Crystal system: tetragonal

abc: 4.905 4.905 4.957
angles: 90.00 90.00 90.00
Fractional positions:
Ti  0.000  0.000  0.000
Cd  0.500  0.500  0.500
As  0.000  0.500  0.000
As  0.500  0.000  0.000
Br  0.000  0.000  0.500

=====

Entry from the Alexandria database: Sr3CuIr at its PBEsol-relaxed geometry (meta-GGA SCAN).

Output
Size of the total moment, μB per formula unit: 0.0
DFT formation energy, eV/atom: 0.16
Crystal system: cubic

abc: 5.662 5.662 5.662
angles: 90.00 90.00 90.00
Fractional positions:
Sr  0.000  0.000  0.500
Sr  0.000  0.500  0.000
Sr  0.500  0.000  0.000
Cu  0.500  0.500  0.500
Ir  0.000  0.000  0.000

=====

Question: Which formula does entry 2 have?
Answer: TiCdAs2Br

=====

Question: size of the total moment of number 3 (Sr3CuIr)?
Answer: 0.0 μB per formula unit